Record 1
Below is a relaxed TiFe3Tc crystal, with properties calculated at the PBE-GGA level.

Cell: 4.3852 4.3852 4.3852 Å, 90.00 90.00 90.00°
With the nearest neighbours (Å) after each atom.
Fractional positions:
Ti 0.0000 0.0000 0.0000  12 Fe 3.10
Fe 0.0000 0.5000 0.5000  2 Tc 2.19
Fe 0.5000 0.0000 0.5000  2 Tc 2.19
Fe 0.5000 0.5000 0.0000  2 Tc 2.19
Tc 0.5000 0.5000 0.5000  6 Fe 2.19

Total moment in μB per atom: 0.6750
E_form in eV per atom: 1.20
VASP energy in eV for the cell shown: -37.637
Distance to the lowest polymorph of the same formula in meV per atom: 0.0

Record 2
Below is a relaxed MgTl2Fe crystal, with properties calculated at the PBE-GGA level.

Cell: 5.6878 5.6878 5.6878 Å, 136.78 136.78 62.78°
With the nearest neighbours (Å) after each atom.
Fractional positions:
Mg 0.0000 0.0000 0.0000  8 Tl 2.96-3.21, 4 Fe 3.21
Tl 0.2500 0.7500 0.5000  4 Fe 2.96, 4 Tl 3.21, 4 Mg 3.21
Tl 0.5000 0.5000 0.0000  4 Mg 2.96, 4 Tl 3.21, 4 Fe 3.21
Fe 0.7500 0.2500 0.5000  8 Tl 2.96-3.21, 4 Mg 3.21

Total moment in μB per atom: 0.6401
E_form in eV per atom: 0.39
VASP energy in eV for the cell shown: -13.212
Distance to the lowest polymorph of the same formula in meV per atom: 68.3

Record 3
Below is a relaxed FeSi4Os2 crystal, with properties calculated at the PBE-GGA level.

Cell: 6.7069 6.7069 6.7069 Å, 143.16 143.16 53.09°
With the nearest neighbours (Å) after each atom.
Fractional positions:
Fe 0.0000 0.0000 0.0000  6 Si 2.12-2.28
Si 0.0000 0.5000 0.5000  2 Fe 2.12
Si 0.1898 0.1898 0.0000  1 Fe 2.28, 1 Os 2.33
Si 0.5000 0.0000 0.5000  2 Fe 2.12
Si 0.8102 0.8102 0.0000  1 Fe 2.28, 1 Os 2.33
Os 0.3838 0.3838 0.0000  5 Si 2.33-2.54
Os 0.6162 0.6162 0.0000  5 Si 2.33-2.54

Total moment in μB per atom: 0.0576
Uncorrected formation energy in eV/atom: 0.50
VASP energy in eV for the cell shown: -49.133